A plane-wave DFT calculation with PBE was carried out for an optimized crystal structure of LaRuBr.

The structure in CIF format:
```
data_LaRuBr
_cell_length_a 3.516
_cell_length_b 3.516
_cell_length_c 11.449
_cell_angle_alpha 90.00
_cell_angle_beta 90.00
_cell_angle_gamma 90.00
_symmetry_space_group_name_H-M 'I 4 m m'
_symmetry_Int_Tables_number 107
_symmetry_space_group_name_Hall 'I 4 -2'
loop_
_atom_site_label
_atom_site_fract_x
_atom_site_fract_y
_atom_site_fract_z
La1 0.000 0.000 0.000
Ru1 0.000 0.000 0.372
Br1 0.000 0.000 0.701
```

DOS at the Fermi energy   3.694 states/eV/f.u.
Formation energy from raw total energies   -11 kJ/mol of atoms
Total energy   -5.41 eV per atom
M_tot   0.0 μB per formula unit

A plane-wave DFT calculation with PBE was carried out for an optimized crystal structure of LaRuBr3.

The structure in CIF format:
```
data_LaRuBr3
_cell_length_a 5.040
_cell_length_b 5.040
_cell_length_c 5.040
_cell_angle_alpha 90.00
_cell_angle_beta 90.00
_cell_angle_gamma 90.00
_symmetry_space_group_name_H-M 'P m -3 m'
_symmetry_Int_Tables_number 221
_symmetry_space_group_name_Hall '-P 4 2 3'
loop_
_atom_site_label
_atom_site_fract_x
_atom_site_fract_y
_atom_site_fract_z
La1 0.000 0.000 0.000
Ru1 0.500 0.500 0.500
Br1 0.000 0.500 0.500
```

DOS at the Fermi energy   3.742 states/eV/f.u.
Formation energy from raw total energies   -40 kJ/mol of atoms
Total energy   -4.26 eV per atom
M_tot   0.0 μB per formula unit

A plane-wave DFT calculation with PBE was carried out for an optimized crystal structure of LaRu2Br.

The structure in CIF format:
```
data_LaRu2Br
_cell_length_a 5.986
_cell_length_b 9.392
_cell_length_c 3.267
_cell_angle_alpha 90.00
_cell_angle_beta 122.63
_cell_angle_gamma 90.00
_symmetry_space_group_name_H-M 'C 1 2/m 1'
_symmetry_Int_Tables_number 12
_symmetry_space_group_name_Hall '-C 2y'
loop_
_atom_site_label
_atom_site_fract_x
_atom_site_fract_y
_atom_site_fract_z
La1 0.000 0.000 0.000
Ru1 0.250 0.250 0.500
Br1 0.000 0.500 0.000
```

DOS at the Fermi energy   5.062 states/eV/f.u.
Formation energy from raw total energies   27 kJ/mol of atoms
Total energy   -6.01 eV per atom
M_tot   0.0 μB per formula unit

A plane-wave DFT calculation with PBE was carried out for an optimized crystal structure of LaRu2Br.

The structure in CIF format:
```
data_LaRu2Br
_cell_length_a 4.033
_cell_length_b 4.033
_cell_length_c 9.478
_cell_angle_alpha 90.00
_cell_angle_beta 90.00
_cell_angle_gamma 90.00
_symmetry_space_group_name_H-M 'I -4 m 2'
_symmetry_Int_Tables_number 119
_symmetry_space_group_name_Hall 'I -4 -2'
loop_
_atom_site_label
_atom_site_fract_x
_atom_site_fract_y
_atom_site_fract_z
La1 0.000 0.000 0.000
Ru1 0.000 0.000 0.500
Ru2 0.000 0.500 0.750
Br1 0.000 0.500 0.250
```

DOS at the Fermi energy   4.826 states/eV/f.u.
Formation energy from raw total energies   36 kJ/mol of atoms
Total energy   -5.91 eV per atom
M_tot   0.0 μB per formula unit

A plane-wave DFT calculation with PBE was carried out for an optimized crystal structure of La2RuBr2.

The structure in CIF format:
```
data_La2RuBr2
_cell_length_a 8.222
_cell_length_b 8.222
_cell_length_c 3.764
_cell_angle_alpha 90.00
_cell_angle_beta 90.00
_cell_angle_gamma 90.00
_symmetry_space_group_name_H-M 'P 4/m b m'
_symmetry_Int_Tables_number 127
_symmetry_space_group_name_Hall '-P 4 2ab'
loop_
_atom_site_label
_atom_site_fract_x
_atom_site_fract_y
_atom_site_fract_z
La1 0.176 0.324 0.000
Ru1 0.000 0.000 0.500
Br1 0.130 0.630 0.500
```

DOS at the Fermi energy   4.760 states/eV/f.u.
Formation energy from raw total energies   -45 kJ/mol of atoms
Total energy   -4.96 eV per atom
M_tot   0.8 μB per formula unit

A plane-wave DFT calculation with PBE was carried out for an optimized crystal structure of LaRu3Br.

The structure in CIF format:
```
data_LaRu3Br
_cell_length_a 4.981
_cell_length_b 4.981
_cell_length_c 4.981
_cell_angle_alpha 90.00
_cell_angle_beta 90.00
_cell_angle_gamma 90.00
_symmetry_space_group_name_H-M 'P m -3 m'
_symmetry_Int_Tables_number 221
_symmetry_space_group_name_Hall '-P 4 2 3'
loop_
_atom_site_label
_atom_site_fract_x
_atom_site_fract_y
_atom_site_fract_z
La1 0.000 0.000 0.000
Ru1 0.000 0.000 0.500
Br1 0.500 0.500 0.500
```

DOS at the Fermi energy   4.184 states/eV/f.u.
Formation energy from raw total energies   178 kJ/mol of atoms
Total energy   -5.04 eV per atom
M_tot   4.6 μB per formula unit